#1
The following is a DFT calculation (GGA-PBE) of a relaxed structure of AgTePtI2.

The value obtained for the density of states at the Fermi level is 4.9 states/eV/cell. As for the symmetry: P4/mmm. The value obtained for the total magnetic moment is 0.90 μB/cell.

a b c (Å): 5.6209 5.6209 5.2267
angles (deg): 90.00 90.00 90.00
Element x y z (fractional)
Ag1 0.0000 0.0000 0.0000
Te1 0.5000 0.5000 0.0000
Pt1 0.5000 0.5000 0.5000
I1 0.0000 0.5000 0.5000
I2 0.5000 0.0000 0.5000

#2
The following is a DFT calculation (GGA-PBE) of a relaxed structure of AgTePtI2.

The value obtained for the density of states at the Fermi level is 9.8 states/eV/cell. As for the symmetry: P4/mmm. The value obtained for the total magnetic moment is 1.00 μB/cell.

a b c (Å): 5.4719 5.4719 5.5639
angles (deg): 90.00 90.00 90.00
Element x y z (fractional)
Ag1 0.0000 0.0000 0.0000
Te1 0.0000 0.0000 0.5000
Pt1 0.5000 0.5000 0.5000
I1 0.0000 0.5000 0.0000
I2 0.5000 0.0000 0.0000

#1 takes first place; second place is 671 meV/atom up.

#1
The following is a DFT calculation (GGA-PBE) of a relaxed structure of AgTe2PtI.

The value obtained for the density of states at the Fermi level is 9.1 states/eV/cell. As for the symmetry: P4/mmm. The value obtained for the total magnetic moment is 0.00 μB/cell.

a b c (Å): 5.4149 5.4149 5.3843
angles (deg): 90.00 90.00 90.00
Element x y z (fractional)
Ag1 0.0000 0.0000 0.0000
Te1 0.0000 0.5000 0.0000
Te2 0.5000 0.0000 0.0000
Pt1 0.5000 0.5000 0.5000
I1 0.0000 0.0000 0.5000

#2
The following is a DFT calculation (GGA-PBE) of a relaxed structure of AgTe2PtI.

The value obtained for the density of states at the Fermi level is 8.4 states/eV/cell. As for the symmetry: P4/mmm. The value obtained for the total magnetic moment is 0.52 μB/cell.

a b c (Å): 5.3304 5.3304 5.5988
angles (deg): 90.00 90.00 90.00
Element x y z (fractional)
Ag1 0.0000 0.0000 0.0000
Te1 0.0000 0.5000 0.5000
Te2 0.5000 0.0000 0.5000
Pt1 0.5000 0.5000 0.5000
I1 0.5000 0.5000 0.0000

#2 takes first place; second place is 641 meV/atom up.

#1
The following is a DFT calculation (GGA-PBE) of a relaxed structure of RbAg2I4.

The value obtained for the density of states at the Fermi level is 10.2 states/eV/cell. As for the symmetry: Fdd2. The value obtained for the total magnetic moment is 0.00 μB/cell.

a b c (Å): 9.5633 9.5532 12.2563
angles (deg): 50.16 50.09 79.75
Element x y z (fractional)
Rb1 0.0000 0.0000 0.0000
Rb2 0.2500 0.2500 0.2500
Ag1 0.1268 0.6258 0.5522
Ag2 0.5549 0.6978 0.6242
Ag3 0.6258 0.1268 0.6951
Ag4 0.6978 0.5549 0.1232
I1 0.2884 0.4114 0.4431
I2 0.3929 0.8069 0.8386
I3 0.4114 0.2884 0.8571
I4 0.4432 0.8588 0.4124
I5 0.8069 0.3929 0.9616
I6 0.8376 0.9644 0.8068
I7 0.8588 0.4432 0.2856
I8 0.9644 0.8376 0.3912

#2
The following is a DFT calculation (GGA-PBE) of a relaxed structure of RbAg2I4.

The value obtained for the density of states at the Fermi level is 16.0 states/eV/cell. As for the symmetry: Cccm. The value obtained for the total magnetic moment is 0.00 μB/cell.

a b c (Å): 7.5552 7.5552 13.1141
angles (deg): 90.00 90.00 127.73
Element x y z (fractional)
Rb1 0.0000 0.0000 0.2500
Rb2 0.0000 0.0000 0.7500
Ag1 0.2253 0.7190 0.0000
Ag2 0.2810 0.7747 0.5000
Ag3 0.7190 0.2253 0.5000
Ag4 0.7747 0.2810 0.0000
I1 0.0000 0.5000 0.1846
I2 0.0000 0.5000 0.8154
I3 0.1567 0.3339 0.5000
I4 0.3339 0.1567 0.0000
I5 0.5000 0.0000 0.3154
I6 0.5000 0.0000 0.6846
I7 0.6661 0.8433 0.0000
I8 0.8433 0.6661 0.5000

#2 takes first place; second place is 7 meV/atom up.

#1
The following is a DFT calculation (GGA-PBE) of a relaxed structure of RbAg3I4.

The value obtained for the density of states at the Fermi level is 0.0 states/eV/cell. As for the symmetry: Pmn2_1. The value obtained for the total magnetic moment is 0.00 μB/cell.

a b c (Å): 9.9189 8.3728 8.1649
angles (deg): 90.00 90.00 90.00
Element x y z (fractional)
Rb1 0.0000 0.1799 0.0000
Rb2 0.5000 0.8201 0.5000
Ag1 0.0000 0.8077 0.5221
Ag2 0.2487 0.3330 0.5338
Ag3 0.2513 0.6670 0.0338
Ag4 0.5000 0.1923 0.0221
Ag5 0.7487 0.6670 0.0338
Ag6 0.7513 0.3330 0.5338
I1 0.0000 0.1507 0.5613
I2 0.0000 0.7806 0.1709
I3 0.2140 0.6394 0.6843
I4 0.2860 0.3606 0.1843
I5 0.5000 0.2194 0.6709
I6 0.5000 0.8493 0.0613
I7 0.7140 0.3606 0.1843
I8 0.7860 0.6394 0.6843

#2
The following is a DFT calculation (GGA-PBE) of a relaxed structure of RbAg3I4.

The value obtained for the density of states at the Fermi level is 0.3 states/eV/cell. As for the symmetry: Pm-3n. The value obtained for the total magnetic moment is 0.00 μB/cell.

a b c (Å): 8.4626 8.4626 8.4626
angles (deg): 90.00 90.00 90.00
Element x y z (fractional)
Rb1 0.0000 0.0000 0.0000
Rb2 0.5000 0.5000 0.5000
Ag1 0.0000 0.2500 0.5000
Ag2 0.0000 0.7500 0.5000
Ag3 0.2500 0.5000 0.0000
Ag4 0.5000 0.0000 0.2500
Ag5 0.5000 0.0000 0.7500
Ag6 0.7500 0.5000 0.0000
I1 0.2500 0.2500 0.2500
I2 0.2500 0.2500 0.7500
I3 0.2500 0.7500 0.2500
I4 0.2500 0.7500 0.7500
I5 0.7500 0.2500 0.2500
I6 0.7500 0.2500 0.7500
I7 0.7500 0.7500 0.2500
I8 0.7500 0.7500 0.7500

#1 takes first place; second place is 106 meV/atom up.

#1
The following is a DFT calculation (GGA-PBE) of a relaxed structure of Rb3AgI4.

The value obtained for the density of states at the Fermi level is 0.0 states/eV/cell. As for the symmetry: Pnma. The value obtained for the total magnetic moment is 0.00 μB/cell.

a b c (Å): 9.9669 12.9489 11.3926
angles (deg): 90.00 90.00 90.00
Element x y z (fractional)
Rb1 0.0153 0.0379 0.2071
Rb2 0.0153 0.4621 0.2071
Rb3 0.0839 0.7500 0.4394
Rb4 0.4161 0.2500 0.9394
Rb5 0.4847 0.5379 0.7071
Rb6 0.4847 0.9621 0.7071
Rb7 0.5153 0.0379 0.2929
Rb8 0.5153 0.4621 0.2929
Rb9 0.5839 0.7500 0.0606
Rb10 0.9161 0.2500 0.5606
Rb11 0.9847 0.5379 0.7929
Rb12 0.9847 0.9621 0.7929
Ag1 0.1852 0.7500 0.9895
Ag2 0.3148 0.2500 0.4895
Ag3 0.6852 0.7500 0.5105
Ag4 0.8148 0.2500 0.0105
I1 0.0496 0.2500 0.8670
I2 0.1986 0.0485 0.5218
I3 0.1986 0.4515 0.5218
I4 0.2159 0.7500 0.7328
I5 0.2841 0.2500 0.2328
I6 0.3014 0.5485 0.0218
I7 0.3014 0.9515 0.0218
I8 0.4504 0.7500 0.3670
I9 0.5496 0.2500 0.6330
I10 0.6986 0.0485 0.9782
I11 0.6986 0.4515 0.9782
I12 0.7159 0.7500 0.7672
I13 0.7841 0.2500 0.2672
I14 0.8014 0.5485 0.4782
I15 0.8014 0.9515 0.4782
I16 0.9504 0.7500 0.1330

#2
The following is a DFT calculation (GGA-PBE) of a relaxed structure of Rb3AgI4.

The value obtained for the density of states at the Fermi level is 0.0 states/eV/cell. As for the symmetry: Pmn2_1. The value obtained for the total magnetic moment is 0.00 μB/cell.

a b c (Å): 12.0952 9.9516 7.4220
angles (deg): 90.00 90.00 90.00
Element x y z (fractional)
Rb1 0.0000 0.1371 0.0000
Rb2 0.2304 0.3318 0.5038
Rb3 0.2696 0.6682 0.0038
Rb4 0.5000 0.8629 0.5000
Rb5 0.7304 0.6682 0.0038
Rb6 0.7696 0.3318 0.5038
Ag1 0.0000 0.8114 0.4089
Ag2 0.5000 0.1886 0.9089
I1 0.0000 0.1003 0.5002
I2 0.0000 0.7852 0.0233
I3 0.2174 0.6985 0.5056
I4 0.2826 0.3015 0.0056
I5 0.5000 0.2148 0.5233
I6 0.5000 0.8997 0.0002
I7 0.7174 0.3015 0.0056
I8 0.7826 0.6985 0.5056

#1 takes first place; second place is 30 meV/atom up.

#1
The following is a DFT calculation (GGA-PBE) of a relaxed structure of RbAgSb2I.

The value obtained for the density of states at the Fermi level is 3.4 states/eV/cell. As for the symmetry: P4/mmm. The value obtained for the total magnetic moment is 2.06 μB/cell.

a b c (Å): 5.3759 5.3759 6.9879
angles (deg): 90.00 90.00 90.00
Element x y z (fractional)
Rb1 0.0000 0.0000 0.0000
Ag1 0.5000 0.5000 0.5000
Sb1 0.0000 0.5000 0.5000
Sb2 0.5000 0.0000 0.5000
I1 0.5000 0.5000 0.0000

#2
The following is a DFT calculation (GGA-PBE) of a relaxed structure of RbAgSb2I.

The value obtained for the density of states at the Fermi level is 1.8 states/eV/cell. As for the symmetry: P4/mmm. The value obtained for the total magnetic moment is 5.01 μB/cell.

a b c (Å): 7.3676 7.3676 6.6240
angles (deg): 90.00 90.00 90.00
Element x y z (fractional)
Rb1 0.0000 0.0000 0.0000
Ag1 0.5000 0.5000 0.5000
Sb1 0.0000 0.5000 0.0000
Sb2 0.5000 0.0000 0.0000
I1 0.0000 0.0000 0.5000

#1 takes first place; second place is 1036 meV/atom up.

#1
The following is a DFT calculation (GGA-PBE) of a relaxed structure of Rb2AgSbI6.

As for the symmetry: Fm-3m. The value obtained for the total magnetic moment is 0.00 μB/cell.

a b c (Å): 8.5333 8.5333 8.5333
angles (deg): 60.00 60.00 60.00
Element x y z (fractional)
Rb1 0.2500 0.2500 0.2500
Rb2 0.7500 0.7500 0.7500
Ag1 0.0000 0.0000 0.0000
Sb1 0.5000 0.5000 0.5000
I1 0.2487 0.2487 0.7513
I2 0.2487 0.7513 0.2487
I3 0.2487 0.7513 0.7513
I4 0.7513 0.2487 0.2487
I5 0.7513 0.2487 0.7513
I6 0.7513 0.7513 0.2487

#2
The following is a DFT calculation (GGA-PBE) of a relaxed structure of Rb2AgSbI6.

As for the symmetry: P2_1/c. The value obtained for the total magnetic moment is 0.00 μB/cell.

a b c (Å): 8.3443 8.5746 14.5052
angles (deg): 90.00 124.90 90.00
Element x y z (fractional)
Rb1 0.2276 0.0690 0.2485
Rb2 0.2276 0.4310 0.7485
Rb3 0.7724 0.5690 0.2515
Rb4 0.7724 0.9310 0.7515
Ag1 0.0000 0.0000 0.5000
Ag2 0.0000 0.5000 0.0000
Sb1 0.5000 0.0000 0.0000
Sb2 0.5000 0.5000 0.5000
I1 0.1643 0.2047 0.9601
I2 0.1643 0.2953 0.4601
I3 0.2617 0.7051 0.9638
I4 0.2617 0.7949 0.4638
I5 0.3260 0.0049 0.7483
I6 0.3260 0.4951 0.2483
I7 0.6740 0.5049 0.7517
I8 0.6740 0.9951 0.2517
I9 0.7383 0.2051 0.5362
I10 0.7383 0.2949 0.0362
I11 0.8357 0.7047 0.5399
I12 0.8357 0.7953 0.0399

#2 takes first place; second place is 21 meV/atom up.

#1
The following is a DFT calculation (GGA-PBE) of a relaxed structure of Rb2AgSeI6.

The value obtained for the density of states at the Fermi level is 3.3 states/eV/cell. As for the symmetry: I4/mmm. The value obtained for the total magnetic moment is 0.00 μB/cell.

a b c (Å): 8.3287 8.3287 8.3287
angles (deg): 120.19 120.19 89.68
Element x y z (fractional)
Rb1 0.2500 0.7500 0.5000
Rb2 0.7500 0.2500 0.5000
Ag1 0.0000 0.0000 0.0000
Se1 0.5000 0.5000 0.0000
I1 0.2486 0.2486 0.4971
I2 0.2486 0.7514 0.0000
I3 0.2535 0.2535 0.0000
I4 0.7465 0.7465 0.0000
I5 0.7514 0.2486 0.0000
I6 0.7514 0.7514 0.5029

#2
The following is a DFT calculation (GGA-PBE) of a relaxed structure of Rb2AgSeI6.

The value obtained for the density of states at the Fermi level is 8.3 states/eV/cell. As for the symmetry: R-3m. The value obtained for the total magnetic moment is 0.00 μB/cell.

a b c (Å): 15.0300 15.0300 15.0300
angles (deg): 31.58 31.58 31.58
Element x y z (fractional)
Rb1 0.1166 0.1166 0.1166
Rb2 0.3016 0.3016 0.3016
Rb3 0.6984 0.6984 0.6984
Rb4 0.8834 0.8834 0.8834
Ag1 0.4164 0.4164 0.4164
Ag2 0.5836 0.5836 0.5836
Se1 0.0000 0.0000 0.0000
Se2 0.5000 0.5000 0.5000
I1 0.1209 0.6310 0.6310
I2 0.2103 0.2103 0.7017
I3 0.2103 0.7017 0.2103
I4 0.2983 0.7897 0.7897
I5 0.3690 0.3690 0.8791
I6 0.3690 0.8791 0.3690
I7 0.6310 0.1209 0.6310
I8 0.6310 0.6310 0.1209
I9 0.7017 0.2103 0.2103
I10 0.7897 0.2983 0.7897
I11 0.7897 0.7897 0.2983
I12 0.8791 0.3690 0.3690

#1 takes first place; second place is 34 meV/atom up.

#1
The following is a DFT calculation (GGA-PBE) of a relaxed structure of RbAgTe2I.

The value obtained for the density of states at the Fermi level is 4.8 states/eV/cell. As for the symmetry: P4/mmm. The value obtained for the total magnetic moment is 3.01 μB/cell.

a b c (Å): 6.7662 6.7662 6.6789
angles (deg): 90.00 90.00 90.00
Element x y z (fractional)
Rb1 0.0000 0.0000 0.0000
Ag1 0.5000 0.5000 0.5000
Te1 0.0000 0.5000 0.0000
Te2 0.5000 0.0000 0.0000
I1 0.0000 0.0000 0.5000

#2
The following is a DFT calculation (GGA-PBE) of a relaxed structure of RbAgTe2I.

The value obtained for the density of states at the Fermi level is 7.6 states/eV/cell. As for the symmetry: P4/mmm. The value obtained for the total magnetic moment is 0.00 μB/cell.

a b c (Å): 5.4960 5.4960 6.2843
angles (deg): 90.00 90.00 90.00
Element x y z (fractional)
Rb1 0.0000 0.0000 0.0000
Ag1 0.5000 0.5000 0.5000
Te1 0.0000 0.5000 0.5000
Te2 0.5000 0.0000 0.5000
I1 0.5000 0.5000 0.0000

#2 takes first place; second place is 953 meV/atom up.

#1
The following is a DFT calculation (GGA-PBE) of a relaxed structure of Rb2TlAgI6.

The value obtained for the density of states at the Fermi level is 4.0 states/eV/cell. As for the symmetry: Fm-3m. The value obtained for the total magnetic moment is 0.00 μB/cell.

a b c (Å): 8.5229 8.5229 8.5229
angles (deg): 60.00 60.00 60.00
Element x y z (fractional)
Rb1 0.2500 0.2500 0.2500
Rb2 0.7500 0.7500 0.7500
Tl1 0.0000 0.0000 0.0000
Ag1 0.5000 0.5000 0.5000
I1 0.2559 0.2559 0.7441
I2 0.2559 0.7441 0.2559
I3 0.2559 0.7441 0.7441
I4 0.7441 0.2559 0.2559
I5 0.7441 0.2559 0.7441
I6 0.7441 0.7441 0.2559

#2
The following is a DFT calculation (GGA-PBE) of a relaxed structure of Rb2TlAgI6.

The value obtained for the density of states at the Fermi level is 0.7 states/eV/cell. As for the symmetry: P2_1/c. The value obtained for the total magnetic moment is 0.00 μB/cell.

a b c (Å): 8.0197 8.7969 14.4109
angles (deg): 90.00 122.71 90.00
Element x y z (fractional)
Rb1 0.2138 0.0873 0.2487
Rb2 0.2138 0.4127 0.7487
Rb3 0.7862 0.5873 0.2513
Rb4 0.7862 0.9127 0.7513
Tl1 0.5000 0.0000 0.0000
Tl2 0.5000 0.5000 0.5000
Ag1 0.0000 0.0000 0.5000
Ag2 0.0000 0.5000 0.0000
I1 0.1599 0.1939 0.9667
I2 0.1599 0.3061 0.4667
I3 0.2591 0.6788 0.9684
I4 0.2591 0.8212 0.4684
I5 0.3182 0.5096 0.2524
I6 0.3182 0.9904 0.7524
I7 0.6818 0.0096 0.2476
I8 0.6818 0.4904 0.7476
I9 0.7409 0.1788 0.5316
I10 0.7409 0.3212 0.0316
I11 0.8401 0.6939 0.5333
I12 0.8401 0.8061 0.0333

#2 takes first place; second place is 23 meV/atom up.